Computed, not measured: crystalline V2ZnFePt at its relaxed geometry at the PBE level of DFT.

* density: 6.54 g/cm3
* energy of formation from the pure elements: 1.1664 eV/atom

a = 4.747 Å, b = 4.747 Å, c = 4.714 Å
α = 90.00°, β = 90.00°, γ = 90.00°
Sites, in units of the cell vectors:
V  0.000  0.500  0.000
V  0.500  0.000  0.000
Zn  0.000  0.000  0.500
Fe  0.500  0.500  0.500
Pt  0.000  0.000  0.000

---

Computed, not measured: crystalline ZnW2Cl at its relaxed geometry at the PBE level of DFT.

* density: 11.97 g/cm3
* formation energy (no corrections): 0.975 eV/atom
* polymorph energy (0 for the lowest one): 669 meV/atom

a = 4.595 Å, b = 4.595 Å, c = 4.595 Å
α = 123.19°, β = 123.19°, γ = 84.56°
Sites, in units of the cell vectors:
Zn  0.000  0.000  0.000
W  0.500  0.500  0.000
W  0.750  0.250  0.500
Cl  0.250  0.750  0.500

---

Computed, not measured: crystalline Li2Ti3SnO8 at its relaxed geometry at the PBE level of DFT.

* density: 3.56 g/cm3
* formation energy (no corrections): -2.531 eV/atom
* polymorph energy (0 for the lowest one): 19 meV/atom

a = 6.982 Å, b = 6.982 Å, c = 6.982 Å
α = 50.81°, β = 50.81°, γ = 50.81°
Sites, in units of the cell vectors:
Li  0.000  0.000  0.000
Li  0.458  0.458  0.458
Ti  0.039  0.039  0.526
Ti  0.039  0.526  0.039
Ti  0.526  0.039  0.039
Sn  0.659  0.659  0.659
O  0.240  0.780  0.780
O  0.262  0.262  0.262
O  0.303  0.303  0.839
O  0.303  0.839  0.303
O  0.780  0.240  0.780
O  0.780  0.780  0.240
O  0.818  0.818  0.818
O  0.839  0.303  0.303

---

Computed, not measured: crystalline Cd2CuAgGe at its relaxed geometry at the PBE level of DFT.

* density: 5.85 g/cm3
* energy of formation from the pure elements: 0.7008 eV/atom

a = 5.244 Å, b = 5.244 Å, c = 4.844 Å
α = 90.00°, β = 90.00°, γ = 90.00°
Sites, in units of the cell vectors:
Cd  0.000  0.500  0.000
Cd  0.500  0.000  0.000
Cu  0.000  0.000  0.500
Ag  0.500  0.500  0.000
Ge  0.500  0.500  0.500

---

Computed, not measured: crystalline Ge2Pt2Cl at its relaxed geometry at the PBE level of DFT.

* density: 9.90 g/cm3
* formation energy (no corrections): -0.305 eV/atom
* polymorph energy (0 for the lowest one): 0 meV/atom

a = 6.628 Å, b = 6.628 Å, c = 6.628 Å
α = 144.90°, β = 144.90°, γ = 50.49°
Sites, in units of the cell vectors:
Ge  0.115  0.115  0.000
Ge  0.885  0.885  0.000
Pt  0.250  0.750  0.500
Pt  0.750  0.250  0.500
Cl  0.500  0.500  0.000

---

Computed, not measured: crystalline TmHgAu4 at its relaxed geometry at the PBE level of DFT.

* density: 15.66 g/cm3
* energy of formation from the pure elements: -0.3609 eV/atom

a = 5.578 Å, b = 5.578 Å, c = 5.578 Å
α = 60.00°, β = 60.00°, γ = 60.00°
Sites, in units of the cell vectors:
Tm  0.000  0.000  0.000
Hg  0.750  0.750  0.750
Au  0.375  0.375  0.375
Au  0.375  0.375  0.875
Au  0.375  0.875  0.375
Au  0.875  0.375  0.375

---

Computed, not measured: crystalline La4SeI5 at its relaxed geometry at the PBE level of DFT.

* density: 5.50 g/cm3
* formation energy (no corrections): -1.492 eV/atom

a = 10.075 Å, b = 10.075 Å, c = 9.209 Å
α = 102.83°, β = 102.83°, γ = 24.88°
Sites, in units of the cell vectors:
La  0.002  0.002  0.285
La  0.349  0.349  0.429
La  0.651  0.651  0.571
La  0.998  0.998  0.715
Se  0.500  0.500  0.500
I  0.166  0.166  0.839
I  0.172  0.172  0.315
I  0.500  0.500  0.000
I  0.828  0.828  0.685
I  0.834  0.834  0.161

---

Computed, not measured: crystalline TlIn12Pb6 at its relaxed geometry at the PBE level of DFT.

* density: 7.92 g/cm3
* energy of formation from the pure elements: 0.0823 eV/atom
* polymorph energy (0 for the lowest one): 4 meV/atom

a = 8.933 Å, b = 8.933 Å, c = 8.933 Å
α = 107.09°, β = 107.09°, γ = 107.09°
Sites, in units of the cell vectors:
Tl  0.000  0.000  0.000
In  0.099  0.335  0.335
In  0.110  0.500  0.890
In  0.110  0.890  0.500
In  0.335  0.099  0.335
In  0.335  0.335  0.099
In  0.500  0.110  0.890
In  0.500  0.890  0.110
In  0.665  0.665  0.901
In  0.665  0.901  0.665
In  0.890  0.110  0.500
In  0.890  0.500  0.110
In  0.901  0.665  0.665
Pb  0.289  0.689  0.689
Pb  0.311  0.311  0.711
Pb  0.311  0.711  0.311
Pb  0.689  0.289  0.689
Pb  0.689  0.689  0.289
Pb  0.711  0.311  0.311

---

Computed, not measured: crystalline Zr4TiSn2 at its relaxed geometry at the PBE level of DFT.

* density: 6.30 g/cm3
* energy of formation from the pure elements: -0.0811 eV/atom

a = 8.488 Å, b = 8.488 Å, c = 8.488 Å
α = 34.10°, β = 34.10°, γ = 34.10°
Sites, in units of the cell vectors:
Zr  0.132  0.132  0.132
Zr  0.258  0.258  0.258
Zr  0.742  0.742  0.742
Zr  0.868  0.868  0.868
Ti  0.500  0.500  0.500
Sn  0.383  0.383  0.383
Sn  0.617  0.617  0.617

---

Computed, not measured: crystalline Li2MgAuO at its relaxed geometry at the PBE level of DFT.

* density: 6.12 g/cm3
* formation energy (no corrections): -1.218 eV/atom

a = 4.070 Å, b = 4.070 Å, c = 4.113 Å
α = 90.00°, β = 90.00°, γ = 90.00°
Sites, in units of the cell vectors:
Li  0.000  0.500  0.000
Li  0.500  0.000  0.000
Mg  0.000  0.000  0.500
Au  0.500  0.500  0.500
O  0.000  0.000  0.000

---

Computed, not measured: crystalline TbYMgPt at its relaxed geometry at the PBE level of DFT.

* density: 8.27 g/cm3
* energy of formation from the pure elements: -0.5950 eV/atom

a = 5.101 Å, b = 5.101 Å, c = 5.101 Å
α = 60.00°, β = 60.00°, γ = 60.00°
Sites, in units of the cell vectors:
Tb  0.000  0.000  0.000
Y  0.500  0.500  0.500
Mg  0.750  0.750  0.750
Pt  0.250  0.250  0.250

---

Computed, not measured: crystalline YHoTlSn at its relaxed geometry at the PBE level of DFT.

* density: 8.84 g/cm3
* energy of formation from the pure elements: -0.4561 eV/atom

a = 5.351 Å, b = 5.351 Å, c = 5.351 Å
α = 60.00°, β = 60.00°, γ = 60.00°
Sites, in units of the cell vectors:
Y  0.000  0.000  0.000
Ho  0.500  0.500  0.500
Tl  0.250  0.250  0.250
Sn  0.750  0.750  0.750

---

Computed, not measured: crystalline LaRe2Ni at its relaxed geometry at the PBE level of DFT.

* density: 13.34 g/cm3
* energy of formation from the pure elements: 0.4998 eV/atom
* polymorph energy (0 for the lowest one): 406 meV/atom

a = 3.170 Å, b = 4.394 Å, c = 5.092 Å
α = 90.00°, β = 90.00°, γ = 90.00°
Sites, in units of the cell vectors:
La  0.000  0.000  0.000
Re  0.000  0.500  0.500
Re  0.500  0.000  0.500
Ni  0.500  0.500  0.000

---

Computed, not measured: crystalline LiGdCuBi at its relaxed geometry at the PBE level of DFT.

* density: 7.93 g/cm3
* energy of formation from the pure elements: -0.3383 eV/atom

a = 5.056 Å, b = 5.056 Å, c = 5.056 Å
α = 60.00°, β = 60.00°, γ = 60.00°
Sites, in units of the cell vectors:
Li  0.000  0.000  0.000
Gd  0.500  0.500  0.500
Cu  0.750  0.750  0.750
Bi  0.250  0.250  0.250

---

Computed, not measured: crystalline Y2CdPt at its relaxed geometry at the PBE level of DFT.

* density: 7.78 g/cm3
* energy of formation from the pure elements: -0.5405 eV/atom

a = 4.045 Å, b = 4.045 Å, c = 6.332 Å
α = 90.00°, β = 90.00°, γ = 90.00°
Sites, in units of the cell vectors:
Y  0.000  0.000  0.000
Y  0.500  0.500  0.350
Cd  0.000  0.000  0.531
Pt  0.500  0.500  0.897

---

Computed, not measured: crystalline MgTl2Cr at its relaxed geometry at the PBE level of DFT.

* density: 8.58 g/cm3
* energy of formation from the pure elements: 0.3496 eV/atom

a = 9.426 Å, b = 9.426 Å, c = 9.426 Å
α = 20.96°, β = 20.96°, γ = 20.96°
Sites, in units of the cell vectors:
Mg  0.000  0.000  0.000
Tl  0.246  0.246  0.246
Tl  0.754  0.754  0.754
Cr  0.500  0.500  0.500

---

Computed, not measured: crystalline Mg2ZrFe at its relaxed geometry at the PBE level of DFT.

* density: 4.34 g/cm3
* energy of formation from the pure elements: 0.2024 eV/atom

a = 2.953 Å, b = 2.953 Å, c = 8.583 Å
α = 90.00°, β = 90.00°, γ = 90.00°
Sites, in units of the cell vectors:
Mg  0.000  0.000  0.214
Mg  0.000  0.000  0.786
Zr  0.500  0.500  0.500
Fe  0.500  0.500  0.000

---

Computed, not measured: crystalline YPHS2 at its relaxed geometry at the PBE level of DFT.

* density: 1.96 g/cm3
* polymorph energy (0 for the lowest one): 851 meV/atom

a = 5.291 Å, b = 5.291 Å, c = 5.603 Å
α = 90.00°, β = 90.00°, γ = 90.00°
Sites, in units of the cell vectors:
Y  0.000  0.000  0.000
P  0.000  0.000  0.500
H  0.500  0.500  0.500
S  0.000  0.500  0.000
S  0.500  0.000  0.000